# 1
First-principles (PBE-GGA) data for a geometry-optimized Ac2In3Pd4 structure, as listed in the Alexandria database.

Unit cell a=6.2667 b=7.6466 c=9.2261 alpha=90.00 beta=109.85 gamma=90.00
Closest atoms and distances in Å follow each position.
Fractional positions:
Ac 0.1058 0.5814 0.2115  5 Pd 3.04-3.35
Ac 0.8942 0.4186 0.7885  5 Pd 3.04-3.35
Ac 0.3942 0.0814 0.7885  5 Pd 3.04-3.35
Ac 0.6058 0.9186 0.2115  5 Pd 3.04-3.35
In 0.0000 0.0000 0.0000  6 Pd 2.76-2.92
In 0.5000 0.5000 0.0000  6 Pd 2.76-2.92
In 0.5169 0.7500 0.5339  5 Pd 2.82-2.91, 2 In 3.13
In 0.9831 0.2500 0.4661  5 Pd 2.82-2.91, 2 In 3.13
In 0.4831 0.2500 0.4661  5 Pd 2.82-2.91, 2 In 3.13
In 0.0169 0.7500 0.5339  5 Pd 2.82-2.91, 2 In 3.13
Pd 0.6796 0.7500 0.8592  3 In 2.76-2.82, 2 Ac 3.04
Pd 0.8204 0.2500 0.1408  3 In 2.76-2.82, 2 Ac 3.04
Pd 0.3204 0.2500 0.1408  3 In 2.76-2.82, 2 Ac 3.04
Pd 0.1796 0.7500 0.8592  3 In 2.76-2.82, 2 Ac 3.04
Pd 0.1679 0.9787 0.3358  5 In 2.84-2.92, 2 Pd 3.10
Pd 0.8321 0.0213 0.6642  5 In 2.84-2.92, 2 Pd 3.10
Pd 0.3321 0.4787 0.6642  5 In 2.84-2.92, 2 Pd 3.10
Pd 0.6679 0.5213 0.3358  5 In 2.84-2.92, 2 Pd 3.10

Output
Formation enthalpy at 0 K: -694 meV/atom
Calculated volume: 23.101 A^3/atom
Energy: -4.828 eV per atom
Magnetic moment: 0.00 μB/f.u.

---

# 2
First-principles (PBE-GGA) data for a geometry-optimized LaPIO2 structure, as listed in the Alexandria database.

Unit cell a=4.2958 b=4.2958 c=5.3394 alpha=90.00 beta=90.00 gamma=90.00
Closest atoms and distances in Å follow each position.
Fractional positions:
I 0.0000 0.0000 0.0000  4 O 2.15
P 0.0000 0.0000 0.5000  2 I 2.67
O 0.0000 0.5000 0.0000  2 I 2.15
O 0.5000 0.0000 0.0000  2 I 2.15
La 0.5000 0.5000 0.5000  4 P 3.04

Output
Calculated volume: 19.707 A^3/atom
Energy: -4.965 eV per atom
Magnetic moment: 0.00 μB/f.u.
ΔE to the lowest computed polymorph: 246 meV/atom

---

The lowest energy belongs to which entry? LaPIO2

---

Which value of calculated volume does entry 1 give? 23.101 A^3/atom

---

Copy entry 2 word for word.
First-principles (PBE-GGA) data for a geometry-optimized LaPIO2 structure, as listed in the Alexandria database.

Unit cell a=4.2958 b=4.2958 c=5.3394 alpha=90.00 beta=90.00 gamma=90.00
Closest atoms and distances in Å follow each position.
Fractional positions:
I 0.0000 0.0000 0.0000  4 O 2.15
P 0.0000 0.0000 0.5000  2 I 2.67
O 0.0000 0.5000 0.0000  2 I 2.15
O 0.5000 0.0000 0.0000  2 I 2.15
La 0.5000 0.5000 0.5000  4 P 3.04

Output
Calculated volume: 19.707 A^3/atom
Energy: -4.965 eV per atom
Magnetic moment: 0.00 μB/f.u.
ΔE to the lowest computed polymorph: 246 meV/atom

---

The lowest energy belongs to which entry? LaPIO2